Entry from Alexandria: a crystal of MoW2 relaxed with PBEsol (SCAN).

a = 9.9304 Å, b = 3.1478 Å, c = 6.2966 Å
α = 90.00°, β = 108.57°, γ = 90.00°
Space group C2/m (No. 12)
Unique sites:
Mo  0.1670  0.0000  0.0831 x4
W  0.0005  0.5000  0.2491 x4
W  0.1667  0.0000  0.5839 x4

Calculated values
formation energy from the elements	-0.004	eV/atom